# HfGe2Ru2

A relaxed structure of HfGe2Ru2 (PBE, Alexandria).

Computed properties:
As for the total energy: -7.87 eV per atom. The formation energy comes out at -0.318 eV per atom.

Geometry as POSCAR:
```
HfGe2Ru2
1.0
7.3115 0.0000 0.0000
0.0000 7.3115 0.0000
0.0000 0.0000 2.9339
Ge Ru Hf
4 4 2
direct
0.3542 0.8542 0.0000
0.6458 0.1458 0.0000
0.1458 0.3542 0.0000
0.8542 0.6458 0.0000
0.6491 0.8509 0.5000
0.3509 0.1491 0.5000
0.1491 0.6491 0.5000
0.8509 0.3509 0.5000
0.5000 0.5000 0.0000
0.0000 0.0000 0.0000
```

# U2NiS5

A relaxed structure of U2NiS5 (PBE, Alexandria).

Computed properties:
As for the total energy: -7.18 eV per atom. Its uncorrected formation energy is -1.0601 eV per atom.

Geometry as POSCAR:
```
U2NiS5
1.0
3.6024 0.0000 0.0000
0.0000 7.5018 0.0000
0.0000 0.0000 11.0378
S U Ni
10 4 2
direct
0.5000 0.3562 0.5842
0.0000 0.0000 0.5000
0.0000 0.7936 0.1985
0.0000 0.7064 0.6985
0.5000 0.1438 0.0842
0.0000 0.2064 0.8015
0.5000 0.6438 0.4158
0.0000 0.5000 0.0000
0.0000 0.2936 0.3015
0.5000 0.8562 0.9158
0.5000 0.9946 0.6848
0.5000 0.5054 0.1848
0.5000 0.0054 0.3152
0.5000 0.4946 0.8152
0.0000 0.5000 0.5000
0.0000 0.0000 0.0000
```

# TlCd2I

A relaxed structure of TlCd2I (PBE, Alexandria).

Computed properties:
As for the total energy: -1.40 eV per atom. Its uncorrected formation energy is 0.0360 eV per atom. The relative energy among the computed polymorphs comes out at 0.53 eV per formula unit.

Geometry as POSCAR:
```
TlCd2I
1.0
-3.6323 -4.1347 1.8393
-2.0875 0.1693 5.4116
-5.5927 1.2481 0.9147
Cd Tl I
2 1 1
direct
0.2500 0.2500 0.2500
0.7500 0.7500 0.7500
0.5000 0.5000 0.5000
0.0000 0.0000 0.0000
```

Record order is preserved below.
Spin magnetization: 0.00 3.88 0.00 μB/f.u.